No. 1
# CsK3H

An optimized crystal structure of CsK3H (PBE-GGA, Alexandria via LeMat-Bulk).

Results
**DFT total energy**: -0.1028 Ry per atom
**Magnetic moment**: 1.0 μB/cell
**Calculated volume**: 56.0 A^3/atom

Structure (CIF):
```
data_CsK3H
_cell_length_a 6.541
_cell_length_b 6.541
_cell_length_c 6.541
_cell_angle_alpha 90.00
_cell_angle_beta 90.00
_cell_angle_gamma 90.00
_space_group_name_H-M_alt 'P m -3 m'
_space_group_IT_number 221
_space_group_name_Hall '-P 4 2 3'
loop_
_atom_site_label
_atom_site_type_symbol
_atom_site_fract_x
_atom_site_fract_y
_atom_site_fract_z
_atom_site_occupancy
Cs1 Cs 0.000 0.000 0.000 1
K1 K 0.000 0.500 0.500 1
H1 H 0.500 0.500 0.500 1
```



No. 2
# HfZr3Fe

An optimized crystal structure of HfZr3Fe (PBE-GGA, Alexandria via LeMat-Bulk).

Results
**Magnetic moment**: 0.0 μB/cell
**DFT formation energy**: 0.31 eV per atom
**Calculated volume**: 22.6 A^3/atom

Structure (CIF):
```
data_HfZr3Fe
_cell_length_a 4.836
_cell_length_b 4.836
_cell_length_c 4.836
_cell_angle_alpha 90.00
_cell_angle_beta 90.00
_cell_angle_gamma 90.00
_space_group_name_H-M_alt 'P m -3 m'
_space_group_IT_number 221
_space_group_name_Hall '-P 4 2 3'
loop_
_atom_site_label
_atom_site_type_symbol
_atom_site_fract_x
_atom_site_fract_y
_atom_site_fract_z
_atom_site_occupancy
Hf1 Hf 0.000 0.000 0.000 1
Zr1 Zr 0.000 0.500 0.500 1
Fe1 Fe 0.500 0.500 0.500 1
```